Here is CaSc2Fe2 after structural relaxation from Alexandria. Energies are from PBE-GGA.

```
CaSc2Fe2
1.0
7.5508 0.0000 0.0000
0.0000 7.5508 0.0000
0.0000 0.0000 3.5652
Ca Sc Fe
2 4 4
direct
0.0000 0.0000 0.0000 Ca
0.5000 0.5000 0.0000 Ca
0.1608 0.3392 0.5000 Sc
0.3392 0.8392 0.5000 Sc
0.6608 0.1608 0.5000 Sc
0.8392 0.6608 0.5000 Sc
0.1112 0.6112 0.0000 Fe
0.3888 0.1112 0.0000 Fe
0.6112 0.8888 0.0000 Fe
0.8888 0.3888 0.0000 Fe
```

Energy of formation: 0.13 eV/atom
E_tot: -61.88 eV per cell
V: 203 Å³ per cell
Crystal system: tetragonal